[1]
{
  "formula": "ZnRe2Te",
  "functional": "PBEsol",
  "state": "optimized geometry",
  "polymorph_energy_ev_per_fu": 1.61,
  "space_group": "No. 119",
  "cell": [[-2.730, -0.039, 2.997], [-1.086, -3.765, -1.039], [4.580, 0.465, 1.435]],
  "species": ["Re", "Re", "Te", "Zn"],
  "fractional_positions": [[0.000, 0.000, 0.000], [0.750, 0.250, 0.500], [0.500, 0.500, 0.000], [0.250, 0.750, 0.500]]
}

[2]
{
  "formula": "ZnRe2Te",
  "functional": "PBEsol",
  "state": "optimized geometry",
  "polymorph_energy_ev_per_fu": 1.30,
  "space_group": "No. 123",
  "cell": [[3.186, 0.000, 0.000], [0.000, 3.186, 0.000], [0.000, 0.000, 6.124]],
  "species": ["Re", "Re", "Te", "Zn"],
  "fractional_positions": [[0.000, 0.000, 0.725], [0.000, 0.000, 0.275], [0.500, 0.500, 0.000], [0.500, 0.500, 0.500]]
}

[3]
{
  "formula": "ZnReTe2",
  "functional": "PBEsol",
  "state": "optimized geometry",
  "total_energy_ev_per_atom": -4.926,
  "space_group": "No. 35",
  "cell": [[-1.051, 0.297, -2.854], [-0.438, -2.768, 1.217], [-8.726, 2.929, 3.519]],
  "species": ["Re", "Te", "Te", "Zn"],
  "fractional_positions": [[0.500, 0.500, 0.266], [0.000, 0.000, 0.056], [0.500, 0.500, 0.712], [0.000, 0.000, 0.466]]
}

[4]
{
  "formula": "ZnRe2Te",
  "functional": "PBEsol",
  "state": "optimized geometry",
  "polymorph_energy_ev_per_fu": 1.26,
  "space_group": "No. 44",
  "cell": [[2.986, 0.000, 0.000], [0.000, 4.215, 0.000], [-1.493, -2.108, 5.500]],
  "species": ["Re", "Re", "Te", "Zn"],
  "fractional_positions": [[0.060, 0.060, 0.119], [0.752, 0.252, 0.505], [0.463, 0.463, 0.926], [0.225, 0.725, 0.449]]
}

[5]
{
  "formula": "ZnReTe2",
  "functional": "PBEsol",
  "state": "optimized geometry",
  "total_energy_ev_per_atom": -5.090,
  "space_group": "No. 166",
  "cell": [[-1.921, -2.646, 0.605], [1.350, -2.798, 1.184], [-1.544, 1.092, 9.012]],
  "species": ["Re", "Te", "Te", "Zn"],
  "fractional_positions": [[0.000, 0.000, 0.000], [0.262, 0.262, 0.214], [0.738, 0.738, 0.786], [0.500, 0.500, 0.500]]
}

[6]
{
  "formula": "Zn2ReTe",
  "functional": "PBEsol",
  "state": "optimized geometry",
  "total_energy_ev_per_atom": -4.611,
  "space_group": "No. 99",
  "cell": [[3.117, 0.000, 0.000], [0.000, 3.117, 0.000], [0.000, 0.000, 7.582]],
  "species": ["Re", "Te", "Zn", "Zn"],
  "fractional_positions": [[0.000, 0.000, 0.477], [0.500, 0.500, 0.682], [0.000, 0.000, 0.076], [0.500, 0.500, 0.265]]
}

[7]
{
  "formula": "Zn2ReTe",
  "functional": "PBEsol",
  "state": "optimized geometry",
  "total_energy_ev_per_atom": -4.586,
  "space_group": "No. 99",
  "cell": [[-1.942, 1.395, 2.359], [-2.735, -0.817, -1.770], [-0.281, -5.119, 2.796]],
  "species": ["Re", "Te", "Zn", "Zn"],
  "fractional_positions": [[0.000, 0.000, 0.481], [0.500, 0.500, 0.734], [0.000, 0.000, 0.037], [0.500, 0.500, 0.249]]
}

[8]
{
  "formula": "ZnRe2Te",
  "functional": "PBEsol",
  "state": "optimized geometry",
  "polymorph_energy_ev_per_fu": 0.00,
  "space_group": "No. 99",
  "cell": [[-0.482, -0.151, 2.934], [-2.446, -1.626, -0.486], [4.480, -6.856, 0.385]],
  "species": ["Re", "Re", "Te", "Zn"],
  "fractional_positions": [[0.000, 0.000, 0.019], [0.500, 0.500, 0.211], [0.000, 0.000, 0.450], [0.500, 0.500, 0.820]]
}

[9]
{
  "formula": "Zr2ReTe",
  "functional": "PBEsol",
  "state": "optimized geometry",
  "total_energy_ev_per_atom": -8.647,
  "space_group": "No. 216",
  "cell": [[-2.750, 3.594, 1.430], [-2.944, -0.582, 3.678], [0.893, 2.177, 4.122]],
  "species": ["Re", "Te", "Zr", "Zr"],
  "fractional_positions": [[0.500, 0.500, 0.500], [0.250, 0.250, 0.250], [0.000, 0.000, 0.000], [0.750, 0.750, 0.750]]
}

[10]
{
  "formula": "Zr2ReTe",
  "functional": "PBEsol",
  "state": "optimized geometry",
  "total_energy_ev_per_atom": -8.859,
  "space_group": "No. 99",
  "cell": [[-2.621, -2.384, -1.365], [0.898, -2.527, 2.689], [-4.077, 2.408, 3.625]],
  "species": ["Re", "Te", "Zr", "Zr"],
  "fractional_positions": [[0.000, 0.000, 0.408], [0.500, 0.500, 0.793], [0.000, 0.000, 0.988], [0.500, 0.500, 0.310]]
}

[11]
{
  "formula": "Zr2ReTe",
  "functional": "PBEsol",
  "state": "optimized geometry",
  "total_energy_ev_per_atom": -9.020,
  "space_group": "No. 65",
  "cell": [[-2.840, 0.681, 1.744], [-2.656, -1.733, -3.649], [0.799, -3.854, 2.807]],
  "species": ["Re", "Te", "Zr", "Zr"],
  "fractional_positions": [[0.500, 0.000, 0.000], [0.500, 0.500, 0.500], [0.000, 0.500, 0.000], [0.000, 0.000, 0.500]]
}

[12]
{
  "formula": "Ti2Re",
  "functional": "PBEsol",
  "state": "optimized geometry",
  "delta_e_f_ev_per_fu": -0.9,
  "space_group": "No. 164",
  "cell": [[4.334, 0.000, 0.000], [-2.167, 3.754, 0.000], [0.000, 0.000, 2.799]],
  "species": ["Re", "Ti", "Ti"],
  "fractional_positions": [[0.000, 0.000, 0.000], [0.667, 0.333, 0.701], [0.333, 0.667, 0.299]]
}

| no. | theoretical density (g/cm³) | N(E_F) (states/eV/cell) |
| --- | --- | --- |
| 1 | 14.73 | 2.78 |
| 2 | 15.10 | 3.13 |
| 3 | 10.03 | 2.77 |
| 4 | 13.56 | 2.94 |
| 5 | 9.76 | 1.89 |
| 6 | 10.03 | 2.45 |
| 7 | 11.21 | 2.77 |
| 8 | 12.92 | 1.39 |
| 9 | 10.90 | 5.68 |
| 10 | 9.58 | 3.05 |
| 11 | 10.69 | 3.24 |
| 12 | 10.28 | 2.91 |